[1]
Ta2CuSi at its PBEsol-relaxed geometry. Source: the Alexandria database, functional meta-GGA SCAN. Values from VASP.

```
&SYSTEM
  ibrav = 0, nat = 4, ntyp = 3
/
ATOMIC_SPECIES
Ta 180.95 Ta.upf
Si 28.09 Si.upf
Cu 63.55 Cu.upf
ATOMIC_POSITIONS crystal
Ta 0.2503 0.2503 0.2491
Ta 0.7497 0.7497 0.7509
Si 0.0000 0.0000 0.0000
Cu 0.5000 0.5000 0.5000
CELL_PARAMETERS angstrom
2.8211 0.0000 0.0000
1.4106 2.4432 0.0000
1.4106 0.8144 8.9018
```

Properties
- Volume: 15.34 Å³ per atom
- E_form (uncorrected): 146 meV per atom


[2]
SrTc3Cl at its PBEsol-relaxed geometry. Source: the Alexandria database, functional meta-GGA SCAN. Values from VASP.

```
&SYSTEM
  ibrav = 0, nat = 5, ntyp = 3
/
ATOMIC_SPECIES
Tc 98.00 Tc.upf
Cl 35.45 Cl.upf
Sr 87.62 Sr.upf
ATOMIC_POSITIONS crystal
Tc 0.0000 0.0000 0.5000
Tc 0.5000 0.0000 0.0000
Tc 0.0000 0.5000 0.0000
Cl 0.0000 0.0000 0.0000
Sr 0.5000 0.5000 0.5000
CELL_PARAMETERS angstrom
4.4592 0.0000 0.0000
0.0000 4.4592 0.0000
0.0000 0.0000 4.4592
```

Properties
- Volume: 17.73 Å³ per atom
- E_form (uncorrected): 1058 meV per atom


[3]
CaY3 at its PBEsol-relaxed geometry. Source: the Alexandria database, functional meta-GGA SCAN. Values from VASP.

```
&SYSTEM
  ibrav = 0, nat = 4, ntyp = 2
/
ATOMIC_SPECIES
Ca 40.08 Ca.upf
Y 88.91 Y.upf
ATOMIC_POSITIONS crystal
Ca 0.0000 0.9973 0.0000
Y 0.5000 0.4993 0.0000
Y 0.7589 0.0940 0.5178
Y 0.2411 0.5762 0.4822
CELL_PARAMETERS angstrom
3.6093 0.0000 0.0000
0.0000 6.2598 0.0000
-1.8047 -3.1299 5.7342
```

Properties
- ΔE_f: 0.098 eV per atom
- Volume: 32.39 Å³ per atom


[4]
BiPIrS2 at its PBEsol-relaxed geometry. Source: the Alexandria database, functional meta-GGA SCAN. Values from VASP.

```
&SYSTEM
  ibrav = 0, nat = 5, ntyp = 4
/
ATOMIC_SPECIES
Bi 208.98 Bi.upf
S 32.06 S.upf
P 30.97 P.upf
Ir 192.22 Ir.upf
ATOMIC_POSITIONS crystal
Bi 0.5000 0.5000 0.5000
S 0.0000 0.5000 0.0000
S 0.0000 0.0000 0.5000
P 0.5000 0.0000 0.0000
Ir 0.0000 0.0000 0.0000
CELL_PARAMETERS angstrom
-3.3523 2.5086 -1.3378
-2.2580 -0.8006 4.1571
2.1289 3.8577 1.8993
```

Properties
- Volume: 20.24 Å³ per atom
- E_form (uncorrected): 400 meV per atom


[5]
YP2ClF at its PBEsol-relaxed geometry. Source: the Alexandria database, functional meta-GGA SCAN. Values from VASP.

```
&SYSTEM
  ibrav = 0, nat = 5, ntyp = 4
/
ATOMIC_SPECIES
P 30.97 P.upf
Cl 35.45 Cl.upf
F 19.00 F.upf
Y 88.91 Y.upf
ATOMIC_POSITIONS crystal
P 0.0000 0.5000 0.0000
P 0.0000 0.0000 0.5000
Cl 0.5000 0.0000 0.0000
F 0.5000 0.5000 0.5000
Y 0.0000 0.0000 0.0000
CELL_PARAMETERS angstrom
5.0666 0.0000 0.0000
0.0000 5.3770 0.0000
0.0000 0.0000 5.3770
```

Properties
- Volume: 29.30 Å³ per atom
- E_form (uncorrected): -119 meV per atom


[6]
RbScMn2Ag at its PBEsol-relaxed geometry. Source: the Alexandria database, functional meta-GGA SCAN. Values from VASP.

```
&SYSTEM
  ibrav = 0, nat = 5, ntyp = 4
/
ATOMIC_SPECIES
Mn 54.94 Mn.upf
Sc 44.96 Sc.upf
Rb 85.47 Rb.upf
Ag 107.87 Ag.upf
ATOMIC_POSITIONS crystal
Mn 0.0000 0.5000 0.0000
Mn 0.5000 0.0000 0.0000
Sc 0.0000 0.0000 0.0000
Rb 0.0000 0.0000 0.5000
Ag 0.5000 0.5000 0.5000
CELL_PARAMETERS angstrom
-0.7110 4.6931 -0.3269
-4.6834 -0.6749 0.4970
0.5411 0.4828 5.7544
```

Properties
- ΔE_f: 1.255 eV per atom
- Volume: 26.26 Å³ per atom


[7]
CuC at its PBEsol-relaxed geometry. Source: the Alexandria database, functional meta-GGA SCAN. Values from VASP.

```
&SYSTEM
  ibrav = 0, nat = 4, ntyp = 2
/
ATOMIC_SPECIES
C 12.01 C.upf
Cu 63.55 Cu.upf
ATOMIC_POSITIONS crystal
C 0.0000 0.0000 0.0000
C 0.5000 0.0000 0.0000
Cu 0.7500 0.6667 0.3333
Cu 0.2500 0.3333 0.6667
CELL_PARAMETERS angstrom
3.4122 0.0000 0.0000
0.0000 3.4230 0.0000
0.0000 -1.7115 2.9644
```

Properties
- ΔE_f: 1.502 eV per atom
- Volume: 8.66 Å³ per atom


[8]
Al4SbAs at its PBEsol-relaxed geometry. Source: the Alexandria database, functional meta-GGA SCAN. Values from VASP.

```
&SYSTEM
  ibrav = 0, nat = 6, ntyp = 3
/
ATOMIC_SPECIES
Al 26.98 Al.upf
As 74.92 As.upf
Sb 121.76 Sb.upf
ATOMIC_POSITIONS crystal
Al 0.3754 0.8739 0.3754
Al 0.3754 0.3754 0.8739
Al 0.3754 0.3754 0.3754
Al 0.8739 0.3754 0.3754
As 0.7500 0.7500 0.7500
Sb 0.0000 0.0000 0.0000
CELL_PARAMETERS angstrom
5.4190 0.0000 0.0000
2.7095 4.6930 0.0000
2.7095 1.5643 4.4246
```

Properties
- Volume: 18.75 Å³ per atom
- E_form (uncorrected): 267 meV per atom


[9]
Ca2OsAu at its PBEsol-relaxed geometry. Source: the Alexandria database, functional meta-GGA SCAN. Values from VASP.

```
&SYSTEM
  ibrav = 0, nat = 4, ntyp = 3
/
ATOMIC_SPECIES
Au 196.97 Au.upf
Os 190.23 Os.upf
Ca 40.08 Ca.upf
ATOMIC_POSITIONS crystal
Au 0.2174 0.7174 0.4349
Os 0.5221 0.5221 0.0443
Ca 0.7832 0.2832 0.5663
Ca 0.9772 0.9772 0.9545
CELL_PARAMETERS angstrom
3.0967 0.0000 0.0000
0.0000 4.9786 0.0000
-1.5483 -2.4893 5.5562
```

Properties
- ΔE_f: 0.037 eV per atom
- Volume: 21.42 Å³ per atom


[10]
K2TlAu at its PBEsol-relaxed geometry. Source: the Alexandria database, functional meta-GGA SCAN. Values from VASP.

```
&SYSTEM
  ibrav = 0, nat = 4, ntyp = 3
/
ATOMIC_SPECIES
K 39.10 K.upf
Au 196.97 Au.upf
Tl 204.38 Tl.upf
ATOMIC_POSITIONS crystal
K 0.9765 0.9529 0.9263
K 0.7754 0.5509 0.3278
Au 0.2059 0.4117 0.6197
Tl 0.5422 0.0844 0.6262
CELL_PARAMETERS angstrom
5.0255 0.0000 0.0000
-2.5128 4.3201 -0.0413
0.0000 -2.8389 6.5116
```

Properties
- ΔE_f: -0.250 eV per atom
- Volume: 35.20 Å³ per atom


[11]
AlHg3Sb at its PBEsol-relaxed geometry. Source: the Alexandria database, functional meta-GGA SCAN. Values from VASP.

```
&SYSTEM
  ibrav = 0, nat = 5, ntyp = 3
/
ATOMIC_SPECIES
Hg 200.59 Hg.upf
Al 26.98 Al.upf
Sb 121.76 Sb.upf
ATOMIC_POSITIONS crystal
Hg 0.0000 0.0000 0.5000
Hg 0.0000 0.5000 0.0000
Hg 0.5000 0.0000 0.0000
Al 0.0000 0.0000 0.0000
Sb 0.5000 0.5000 0.5000
CELL_PARAMETERS angstrom
-1.7582 4.1235 -2.4291
1.3156 -2.0717 -4.4690
-4.6014 -2.1679 -0.3496
```

Properties
- Volume: 26.51 Å³ per atom
- E_form (uncorrected): 319 meV per atom


[12]
K2BaTe at its PBEsol-relaxed geometry. Source: the Alexandria database, functional meta-GGA SCAN. Values from VASP.

```
&SYSTEM
  ibrav = 0, nat = 4, ntyp = 3
/
ATOMIC_SPECIES
K 39.10 K.upf
Ba 137.33 Ba.upf
Te 127.60 Te.upf
ATOMIC_POSITIONS crystal
K 0.5000 0.0000 0.0000
K 0.0000 0.5000 0.0000
Ba 0.0000 0.0000 0.5000
Te 0.5000 0.5000 0.5000
CELL_PARAMETERS angstrom
-4.9480 1.4091 -0.0875
-0.6498 -1.9900 4.7003
1.6038 5.7980 2.6765
```

Properties
- Volume: 43.58 Å³ per atom
- E_form (uncorrected): -715 meV per atom